No. 1
K2NaLiH: relaxed, PBE.

crystal system = tetragonal
total DFT energy (no corrections) = -1.7125 eV/atom

a = 6.6749 Å, b = 6.6749 Å, c = 4.0283 Å
α = 90.00°, β = 90.00°, γ = 90.00°
Atoms (fractional coordinates):
K: 0.0000 0.5000 0.0000
K: 0.5000 0.0000 0.0000
Na: 0.0000 0.0000 0.5000
Li: 0.5000 0.5000 0.5000
H: 0.5000 0.5000 0.0000

---

No. 2
KNaLiH3: relaxed, PBE.

crystal system = orthorhombic
total DFT energy (no corrections) = -2.6357 eV/atom

a = 6.1944 Å, b = 6.1944 Å, c = 8.9926 Å
α = 90.00°, β = 90.00°, γ = 147.11°
Atoms (fractional coordinates):
K: 0.2417 0.7583 0.7500
K: 0.7583 0.2417 0.2500
Na: 0.5000 0.5000 0.0000
Na: 0.5000 0.5000 0.5000
Li: 0.0320 0.9680 0.2500
Li: 0.9680 0.0320 0.7500
H: 0.1202 0.8798 0.0826
H: 0.1202 0.8798 0.4174
H: 0.4515 0.5485 0.2500
H: 0.5485 0.4515 0.7500
H: 0.8798 0.1202 0.5826
H: 0.8798 0.1202 0.9174

---

No. 3
K3LiNi2H8: relaxed, PBE.

crystal system = trigonal
total DFT energy (no corrections) = -3.1004 eV/atom

a = 5.5131 Å, b = 5.5131 Å, c = 7.4701 Å
α = 90.00°, β = 90.00°, γ = 120.00°
Atoms (fractional coordinates):
K: 0.0000 0.0000 0.0000
K: 0.3333 0.6667 0.6730
K: 0.6667 0.3333 0.3270
Li: 0.0000 0.0000 0.5000
Ni: 0.3333 0.6667 0.2368
Ni: 0.6667 0.3333 0.7632
H: 0.1829 0.3657 0.3362
H: 0.1829 0.8171 0.3362
H: 0.3333 0.6667 0.0235
H: 0.3657 0.1829 0.6638
H: 0.6343 0.8171 0.3362
H: 0.6667 0.3333 0.9765
H: 0.8171 0.1829 0.6638
H: 0.8171 0.6343 0.6638

---

The lowest total DFT energy (no corrections) belongs to which entry? K3LiNi2H8

---

Number 3 is which compound? K3LiNi2H8

---

What is the total DFT energy (no corrections) in the second record? -2.6357 eV/atom